1.
! La2YOs (GGA-PBE, optimized geometry); values from VASP
! V, Å³/atom: 29.43
! Final energy, eV for the cell shown: -27.62
! Density of states at the Fermi level, states/eV/atom: 1.046
! DFT formation energy, meV per atom: -18
&SYSTEM
  ibrav = 0, nat = 4, ntyp = 3
/
ATOMIC_SPECIES
La 138.91 La.upf
Os 190.23 Os.upf
Y 88.91 Y.upf
ATOMIC_POSITIONS crystal
La 0.000 0.000 0.015
La 0.809 0.809 0.704
Os 0.502 0.502 0.458
Y 0.189 0.189 0.323
CELL_PARAMETERS angstrom
-4.909 4.075 1.457
-6.407 0.689 1.139
-1.382 0.103 5.417



2.
! Tl6Cd7 (GGA-PBE, optimized geometry); values from VASP
! V, Å³/atom: 27.23
! Final energy, eV for the cell shown: -20.42
! Density of states at the Fermi level, states/eV/atom: 0.357
! DFT formation energy, meV per atom: 14
&SYSTEM
  ibrav = 0, nat = 13, ntyp = 2
/
ATOMIC_SPECIES
Tl 204.38 Tl.upf
Cd 112.41 Cd.upf
ATOMIC_POSITIONS crystal
Tl 0.650 0.650 0.049
Tl 0.350 0.350 0.951
Tl 0.165 0.165 0.505
Tl 0.454 0.454 0.638
Tl 0.835 0.835 0.495
Tl 0.546 0.546 0.362
Cd 0.907 0.410 0.775
Cd 0.410 0.907 0.775
Cd 0.093 0.590 0.225
Cd 0.093 0.093 0.225
Cd 0.907 0.907 0.775
Cd 0.000 0.000 0.000
Cd 0.590 0.093 0.225
CELL_PARAMETERS angstrom
5.655 0.000 1.542
2.617 5.012 1.542
-0.333 -0.202 12.364



3.
! PrEuZnAg (GGA-PBE, optimized geometry); values from VASP
! V, Å³/atom: 26.70
! Final energy, eV for the cell shown: -20.21
! Density of states at the Fermi level, states/eV/atom: 1.985
! DFT formation energy, meV per atom: -259
&SYSTEM
  ibrav = 0, nat = 4, ntyp = 4
/
ATOMIC_SPECIES
Zn 65.41 Zn.upf
Eu 151.96 Eu.upf
Ag 107.87 Ag.upf
Pr 140.91 Pr.upf
ATOMIC_POSITIONS crystal
Zn 0.750 0.750 0.750
Eu 0.000 0.000 0.000
Ag 0.250 0.250 0.250
Pr 0.500 0.500 0.500
CELL_PARAMETERS angstrom
-2.837 3.799 -2.425
-4.882 -1.082 -1.832
-4.269 2.082 2.408